Record 1
# YRe2Mo2, optimized geometry, DFT PBE
# - Formation energy from the elements: 117 kJ/mol of formula units
# - Total moment: 0.000 μB/f.u.
# - VASP energy: -10.36 eV per atom
# - V: 17.785 Å³ per atom
# - N(E_F): 3.9 states/eV/f.u.
data_YRe2Mo2
_chemical_formula_sum 'Y2 Re4 Mo4'
_cell_length_a 7.829
_cell_length_b 7.829
_cell_length_c 2.902
_cell_angle_alpha 90.00
_cell_angle_beta 90.00
_cell_angle_gamma 90.00
_space_group_name_H-M_alt 'P 4/m b m'
_space_group_IT_number 127
_space_group_name_Hall '-P 4 2ab'
loop_
_atom_site_label
_atom_site_fract_x
_atom_site_fract_y
_atom_site_fract_z
Y1 0.000 0.000 0.000
Re1 0.146 0.354 0.500
Mo1 0.146 0.646 0.000

Record 2
# CdNi2Te, optimized geometry, DFT PBE
# - Total moment: 0.000 μB/f.u.
# - Offset from the most stable computed form: 91.6 meV per atom
# - VASP energy: -3.76 eV per atom
# - V: 17.637 Å³ per atom
# - N(E_F): 2.6 states/eV/f.u.
data_CdNi2Te
_chemical_formula_sum 'Cd2 Ni4 Te2'
_cell_length_a 3.083
_cell_length_b 4.204
_cell_length_c 10.884
_cell_angle_alpha 90.00
_cell_angle_beta 90.00
_cell_angle_gamma 90.00
_space_group_name_H-M_alt 'I m m 2'
_space_group_IT_number 44
loop_
_space_group_symop_operation_xyz
'x,y,z'
'-x,-y,z'
'-x,y,z'
'x,-y,z'
'x+1/2,y+1/2,z+1/2'
'-x+1/2,-y+1/2,z+1/2'
'-x+1/2,y+1/2,z+1/2'
'x+1/2,-y+1/2,z+1/2'
loop_
_atom_site_label
_atom_site_fract_x
_atom_site_fract_y
_atom_site_fract_z
Cd1 0.000 0.000 0.000
Ni1 0.000 0.000 0.537
Ni2 0.000 0.500 0.839
Te1 0.000 0.500 0.233